## Mg4MnRe (PBE-GGA)

Data for Mg4MnRe after structural relaxation.

abc: 7.561 7.561 7.561
angles: 90.00 90.00 90.00
Space group F-43m (No. 216)
Symmetry-distinct sites (fractional):
1 Mg 0.124 0.124 0.376 x16
2 Mn 0.000 0.000 0.000 x4
3 Re 0.250 0.250 0.750 x4

Output
**Calculated formation energy**: 688.4 meV per atom

=====

## PrErTlPt (PBE-GGA)

Data for PrErTlPt after structural relaxation.

abc: 7.407 7.407 7.407
angles: 90.00 90.00 90.00
Space group F-43m (No. 216)
Symmetry-distinct sites (fractional):
1 Pr 0.000 0.000 0.000 x4
2 Er 0.000 0.000 0.500 x4
3 Tl 0.250 0.250 0.250 x4
4 Pt 0.250 0.250 0.750 x4

Output
**Calculated formation energy**: -626.7 meV per atom